First-principles (PBE) data for a relaxed CrPd2Pt crystal, as listed in Alexandria via LeMat-Bulk. Values from VASP.

Structure (Quantum ESPRESSO input):
```
&SYSTEM
  ibrav = 0, nat = 16, ntyp = 3
/
ATOMIC_SPECIES
Cr 52.00 Cr.upf
Pd 106.42 Pd.upf
Pt 195.08 Pt.upf
CELL_PARAMETERS angstrom
6.252 0.000 0.000
0.000 6.252 0.000
0.000 0.000 6.252
ATOMIC_POSITIONS angstrom
Cr 0.000 0.000 0.000
Cr 0.000 3.126 3.126
Cr 3.126 0.000 3.126
Cr 3.126 3.126 0.000
Pd 0.000 0.000 3.126
Pd 0.000 3.126 0.000
Pd 1.563 1.563 1.563
Pd 1.563 4.689 4.689
Pd 3.126 0.000 0.000
Pd 3.126 3.126 3.126
Pd 4.689 1.563 4.689
Pd 4.689 4.689 1.563
Pt 1.563 1.563 4.689
Pt 1.563 4.689 1.563
Pt 4.689 1.563 1.563
Pt 4.689 4.689 4.689
```

Computed properties:
Formation energy   -0.027 eV/atom

First-principles (PBE) data for a relaxed NbSi2Au crystal, as listed in Alexandria via LeMat-Bulk. Values from VASP.

Structure (Quantum ESPRESSO input):
```
&SYSTEM
  ibrav = 0, nat = 16, ntyp = 3
/
ATOMIC_SPECIES
Nb 92.91 Nb.upf
Si 28.09 Si.upf
Au 196.97 Au.upf
CELL_PARAMETERS angstrom
6.851 0.000 0.000
0.000 6.851 0.000
0.000 0.000 5.939
ATOMIC_POSITIONS angstrom
Nb 0.000 0.000 0.000
Nb 0.000 3.426 1.485
Nb 3.426 0.000 4.454
Nb 3.426 3.426 2.969
Si 1.577 1.713 3.712
Si 1.713 5.002 5.196
Si 1.713 5.275 2.227
Si 1.849 1.713 0.742
Si 5.002 5.138 0.742
Si 5.138 1.577 2.227
Si 5.138 1.849 5.196
Si 5.275 5.138 3.712
Au 0.000 0.000 2.969
Au 0.000 3.426 4.454
Au 3.426 0.000 1.485
Au 3.426 3.426 0.000
```

Computed properties:
Uncorrected formation energy   211.2 meV/atom

First-principles (PBE) data for a relaxed MnTlBr2 crystal, as listed in Alexandria via LeMat-Bulk. Values from VASP.

Structure (Quantum ESPRESSO input):
```
&SYSTEM
  ibrav = 0, nat = 4, ntyp = 3
/
ATOMIC_SPECIES
Mn 54.94 Mn.upf
Tl 204.38 Tl.upf
Br 79.90 Br.upf
CELL_PARAMETERS angstrom
3.658 0.000 0.000
0.000 3.658 0.000
0.000 0.000 9.257
ATOMIC_POSITIONS angstrom
Mn 0.000 0.000 0.000
Tl 1.829 1.829 4.484
Br 0.000 0.000 6.847
Br 1.829 1.829 0.916
```

Computed properties:
Polymorph energy (0 for the lowest one)   151 meV/atom
Uncorrected formation energy   -329.7 meV/atom

First-principles (PBE) data for a relaxed La2ZrBi crystal, as listed in Alexandria via LeMat-Bulk. Values from VASP.

Structure (Quantum ESPRESSO input):
```
&SYSTEM
  ibrav = 0, nat = 16, ntyp = 3
/
ATOMIC_SPECIES
La 138.91 La.upf
Zr 91.22 Zr.upf
Bi 208.98 Bi.upf
CELL_PARAMETERS angstrom
8.905 0.000 0.000
0.000 8.905 0.000
0.000 0.000 6.346
ATOMIC_POSITIONS angstrom
La 2.211 2.226 0.793
La 2.226 6.663 2.380
La 2.226 6.694 5.553
La 2.242 2.226 3.966
La 6.663 6.678 3.966
La 6.678 2.211 5.553
La 6.678 2.242 2.380
La 6.694 6.678 0.793
Zr 0.000 0.000 0.000
Zr 0.000 4.452 1.587
Zr 4.452 0.000 4.760
Zr 4.452 4.452 3.173
Bi 0.000 0.000 3.173
Bi 0.000 4.452 4.760
Bi 4.452 0.000 1.587
Bi 4.452 4.452 0.000
```

Computed properties:
Formation energy   0.055 eV/atom

First-principles (PBE) data for a relaxed TlAg3F9 crystal, as listed in Alexandria via LeMat-Bulk. Values from VASP.

Structure (Quantum ESPRESSO input):
```
&SYSTEM
  ibrav = 0, nat = 26, ntyp = 3
/
ATOMIC_SPECIES
Tl 204.38 Tl.upf
Ag 107.87 Ag.upf
F 19.00 F.upf
CELL_PARAMETERS angstrom
5.648 0.000 0.000
0.000 7.932 0.000
-0.668 0.000 9.281
ATOMIC_POSITIONS angstrom
Tl -0.224 1.983 3.935
Tl 5.205 5.949 5.346
Ag 0.000 0.000 0.000
Ag 0.000 3.966 0.000
Ag 2.237 0.122 6.358
Ag 2.237 3.844 6.358
Ag 2.744 4.088 2.923
Ag 2.744 7.809 2.923
F -0.025 1.983 9.056
F 0.279 4.600 6.992
F 0.279 7.298 6.992
F 0.951 4.499 4.268
F 0.951 7.399 4.268
F 1.095 1.983 5.745
F 1.650 4.364 1.041
F 1.650 7.534 1.041
F 1.791 1.983 2.978
F 3.190 5.949 6.303
F 3.331 0.398 8.240
F 3.331 3.568 8.240
F 3.885 5.949 3.536
F 4.029 0.533 5.013
F 4.029 3.433 5.013
F 4.701 0.634 2.289
F 4.701 3.332 2.289
F 5.005 5.949 0.225
```

Computed properties:
Uncorrected formation energy   -1282.2 meV/atom

First-principles (PBE) data for a relaxed K2YCu crystal, as listed in Alexandria via LeMat-Bulk. Values from VASP.

Structure (Quantum ESPRESSO input):
```
&SYSTEM
  ibrav = 0, nat = 8, ntyp = 3
/
ATOMIC_SPECIES
K 39.10 K.upf
Y 88.91 Y.upf
Cu 63.55 Cu.upf
CELL_PARAMETERS angstrom
3.690 0.000 0.000
0.000 6.564 0.000
0.000 0.000 13.431
ATOMIC_POSITIONS angstrom
K 0.000 0.000 0.000
K 0.000 3.282 2.486
K 1.845 0.000 9.202
K 1.845 3.282 6.715
Y 0.000 3.282 11.041
Y 1.845 0.000 4.325
Cu 0.000 0.000 6.346
Cu 1.845 3.282 13.062
```

Computed properties:
Polymorph energy (0 for the lowest one)   232 meV/atom
Formation energy   0.415 eV/atom

First-principles (PBE) data for a relaxed Nb3Ir2Ru4 crystal, as listed in Alexandria via LeMat-Bulk. Values from VASP.

Structure (Quantum ESPRESSO input):
```
&SYSTEM
  ibrav = 0, nat = 18, ntyp = 3
/
ATOMIC_SPECIES
Nb 92.91 Nb.upf
Ir 192.22 Ir.upf
Ru 101.07 Ru.upf
CELL_PARAMETERS angstrom
5.365 0.000 0.000
-0.830 7.937 0.000
-0.829 -4.018 6.848
ATOMIC_POSITIONS angstrom
Nb -0.189 0.525 3.323
Nb 0.096 0.706 6.413
Nb 2.034 -0.633 1.285
Nb 1.672 4.552 5.563
Nb 3.611 3.213 0.435
Nb 3.895 3.394 3.525
Ir 0.547 3.164 1.908
Ir 0.488 -2.106 6.577
Ir 3.219 6.025 0.270
Ir 3.159 0.755 4.940
Ru -1.028 3.210 5.934
Ru -0.597 5.586 2.308
Ru 1.620 -1.229 4.283
Ru 1.215 2.387 4.491
Ru 2.491 1.531 2.357
Ru 2.086 5.148 2.565
Ru 4.303 -1.667 4.540
Ru 4.734 0.709 0.914
```

Computed properties:
Formation energy   -0.061 eV/atom

First-principles (PBE) data for a relaxed Pa2MnS5 crystal, as listed in Alexandria via LeMat-Bulk. Values from VASP.

Structure (Quantum ESPRESSO input):
```
&SYSTEM
  ibrav = 0, nat = 16, ntyp = 3
/
ATOMIC_SPECIES
Pa 231.04 Pa.upf
Mn 54.94 Mn.upf
S 32.06 S.upf
CELL_PARAMETERS angstrom
7.485 0.000 0.000
0.000 11.264 0.000
0.000 0.000 3.758
ATOMIC_POSITIONS angstrom
Pa 0.137 2.015 0.000
Pa 3.606 7.647 0.000
Pa 3.879 3.617 0.000
Pa 7.348 9.249 0.000
Mn 0.000 5.632 1.879
Mn 3.743 0.000 1.879
S 0.000 0.000 1.879
S 1.226 4.573 0.000
S 1.395 7.804 1.879
S 2.348 2.172 1.879
S 2.517 10.205 0.000
S 3.743 5.632 1.879
S 4.968 1.059 0.000
S 5.137 9.091 1.879
S 6.090 3.459 1.879
S 6.259 6.691 0.000
```

Computed properties:
Uncorrected formation energy   -1349.3 meV/atom

First-principles (PBE) data for a relaxed RbIrRu crystal, as listed in Alexandria via LeMat-Bulk. Values from VASP.

Structure (Quantum ESPRESSO input):
```
&SYSTEM
  ibrav = 0, nat = 6, ntyp = 3
/
ATOMIC_SPECIES
Rb 85.47 Rb.upf
Ir 192.22 Ir.upf
Ru 101.07 Ru.upf
CELL_PARAMETERS angstrom
5.044 0.000 0.000
0.000 4.441 0.000
-1.016 0.000 6.605
ATOMIC_POSITIONS angstrom
Rb 0.810 1.110 2.841
Rb 3.219 3.331 3.764
Ir 0.904 3.331 6.382
Ir 3.124 1.110 0.223
Ru -0.454 1.110 6.205
Ru 4.482 3.331 0.400
```

Computed properties:
Polymorph energy (0 for the lowest one)   70 meV/atom
Formation energy   0.570 eV/atom

First-principles (PBE) data for a relaxed Tb3InNi crystal, as listed in Alexandria via LeMat-Bulk. Values from VASP.

Structure (Quantum ESPRESSO input):
```
&SYSTEM
  ibrav = 0, nat = 10, ntyp = 3
/
ATOMIC_SPECIES
Tb 158.93 Tb.upf
In 114.82 In.upf
Ni 58.69 Ni.upf
CELL_PARAMETERS angstrom
7.595 0.000 0.000
-3.797 6.577 0.000
0.000 0.000 5.267
ATOMIC_POSITIONS angstrom
Tb 0.000 2.377 1.317
Tb -1.739 5.389 1.317
Tb 2.059 1.188 3.950
Tb 1.739 5.389 1.317
Tb 5.536 1.188 3.950
Tb 3.797 4.200 3.950
In 0.000 4.385 3.950
In 3.797 2.192 1.317
Ni 0.000 0.000 0.000
Ni 0.000 0.000 2.633
```

Computed properties:
Polymorph energy (0 for the lowest one)   0 meV/atom
Formation energy   -0.327 eV/atom

First-principles (PBE) data for a relaxed Na3Tb3ThTe8 crystal, as listed in Alexandria via LeMat-Bulk. Values from VASP.

Structure (Quantum ESPRESSO input):
```
&SYSTEM
  ibrav = 0, nat = 15, ntyp = 4
/
ATOMIC_SPECIES
Na 22.99 Na.upf
Tb 158.93 Tb.upf
Th 232.04 Th.upf
Te 127.60 Te.upf
CELL_PARAMETERS angstrom
4.449 2.569 7.594
-4.449 2.569 7.594
0.000 -5.138 7.594
ATOMIC_POSITIONS angstrom
Na -2.225 -1.284 7.594
Na -2.225 1.284 15.188
Na 0.000 2.569 7.594
Tb -4.449 0.000 11.391
Tb -2.225 1.284 3.797
Tb 2.225 1.284 3.797
Th 0.000 0.000 11.391
Te -2.258 -1.304 13.165
Te 0.000 0.000 5.564
Te 0.000 -2.608 9.617
Te -2.258 1.304 9.617
Te 2.258 -1.304 13.165
Te 0.000 2.608 13.165
Te 0.000 0.000 17.218
Te 2.258 1.304 9.617
```

Computed properties:
Uncorrected formation energy   -1288.8 meV/atom

First-principles (PBE) data for a relaxed TcTeSe2 crystal, as listed in Alexandria via LeMat-Bulk. Values from VASP.

Structure (Quantum ESPRESSO input):
```
&SYSTEM
  ibrav = 0, nat = 8, ntyp = 3
/
ATOMIC_SPECIES
Tc 98.00 Tc.upf
Te 127.60 Te.upf
Se 78.96 Se.upf
CELL_PARAMETERS angstrom
3.117 0.000 0.000
0.000 4.530 0.000
0.000 0.000 12.659
ATOMIC_POSITIONS angstrom
Tc 0.000 0.000 0.000
Tc 1.558 2.265 6.330
Te 0.000 2.265 8.745
Te 1.558 0.000 2.416
Se 0.000 0.000 6.794
Se 0.000 2.265 4.415
Se 1.558 0.000 10.744
Se 1.558 2.265 0.464
```

Computed properties:
Uncorrected formation energy   138.5 meV/atom

First-principles (PBE) data for a relaxed Fe3MoN crystal, as listed in Alexandria via LeMat-Bulk. Values from VASP.

Structure (Quantum ESPRESSO input):
```
&SYSTEM
  ibrav = 0, nat = 5, ntyp = 3
/
ATOMIC_SPECIES
Fe 55.84 Fe.upf
Mo 95.94 Mo.upf
N 14.01 N.upf
CELL_PARAMETERS angstrom
3.782 0.000 0.000
0.000 3.782 0.000
0.000 0.000 3.782
ATOMIC_POSITIONS angstrom
Fe 0.000 0.000 1.891
Fe 0.000 1.891 0.000
Fe 1.891 0.000 0.000
Mo 1.891 1.891 1.891
N 0.000 0.000 0.000
```

Computed properties:
Polymorph energy (0 for the lowest one)   0 meV/atom
Uncorrected formation energy   124.9 meV/atom

First-principles (PBE) data for a relaxed Pm8AgPt5 crystal, as listed in Alexandria via LeMat-Bulk. Values from VASP.

Structure (Quantum ESPRESSO input):
```
&SYSTEM
  ibrav = 0, nat = 14, ntyp = 3
/
ATOMIC_SPECIES
Pm 145.00 Pm.upf
Ag 107.87 Ag.upf
Pt 195.08 Pt.upf
CELL_PARAMETERS angstrom
-4.529 4.529 4.466
4.529 -4.529 4.466
4.529 4.529 -4.466
ATOMIC_POSITIONS angstrom
Pm 2.771 -0.574 0.628
Pm 6.287 0.574 0.628
Pm 3.964 2.911 -1.648
Pm 5.103 -1.758 3.839
Pm 0.565 1.618 2.818
Pm 1.618 -0.565 6.114
Pm 3.955 1.758 3.839
Pm 2.911 5.094 1.648
Ag 0.000 4.529 2.233
Pt 0.000 0.000 0.000
Pt 2.265 -1.172 3.384
Pt 3.357 2.264 1.083
Pt 2.264 5.701 -1.083
Pt 1.172 2.265 5.549
```

Computed properties:
Formation energy   -0.852 eV/atom

First-principles (PBE) data for a relaxed NpSi2Ni2 crystal, as listed in Alexandria via LeMat-Bulk. Values from VASP.

Structure (Quantum ESPRESSO input):
```
&SYSTEM
  ibrav = 0, nat = 10, ntyp = 3
/
ATOMIC_SPECIES
Np 237.00 Np.upf
Si 28.09 Si.upf
Ni 58.69 Ni.upf
CELL_PARAMETERS angstrom
3.936 0.000 0.000
0.000 3.936 0.000
0.000 0.000 9.660
ATOMIC_POSITIONS angstrom
Np 0.000 0.000 0.000
Np 1.968 1.968 4.830
Si 0.000 0.000 3.636
Si 0.000 0.000 6.024
Si 1.968 1.968 1.194
Si 1.968 1.968 8.466
Ni 0.000 1.968 2.415
Ni 0.000 1.968 7.245
Ni 1.968 0.000 2.415
Ni 1.968 0.000 7.245
```

Computed properties:
Uncorrected formation energy   -538.7 meV/atom

First-principles (PBE) data for a relaxed ScSiPt2 crystal, as listed in Alexandria via LeMat-Bulk. Values from VASP.

Structure (Quantum ESPRESSO input):
```
&SYSTEM
  ibrav = 0, nat = 16, ntyp = 3
/
ATOMIC_SPECIES
Sc 44.96 Sc.upf
Si 28.09 Si.upf
Pt 195.08 Pt.upf
CELL_PARAMETERS angstrom
6.386 0.000 0.000
0.000 6.386 0.000
0.000 0.000 6.386
ATOMIC_POSITIONS angstrom
Sc 0.000 0.000 0.000
Sc 0.000 3.193 3.193
Sc 3.193 0.000 3.193
Sc 3.193 3.193 0.000
Si 1.596 1.596 1.596
Si 1.596 4.789 4.789
Si 4.789 1.596 4.789
Si 4.789 4.789 1.596
Pt 0.000 0.000 3.193
Pt 0.000 3.193 0.000
Pt 1.596 1.596 4.789
Pt 1.596 4.789 1.596
Pt 3.193 0.000 0.000
Pt 3.193 3.193 3.193
Pt 4.789 1.596 1.596
Pt 4.789 4.789 4.789
```

Computed properties:
Uncorrected formation energy   -623.1 meV/atom

First-principles (PBE) data for a relaxed Cu3W crystal, as listed in Alexandria via LeMat-Bulk. Values from VASP.

Structure (Quantum ESPRESSO input):
```
&SYSTEM
  ibrav = 0, nat = 12, ntyp = 2
/
ATOMIC_SPECIES
Cu 63.55 Cu.upf
W 183.84 W.upf
CELL_PARAMETERS angstrom
2.686 0.000 0.000
-1.343 2.326 0.000
0.000 0.000 25.774
ATOMIC_POSITIONS angstrom
Cu 0.000 0.000 0.000
Cu 0.000 0.000 6.549
Cu 0.000 0.000 19.225
Cu 0.000 1.551 10.634
Cu 0.000 1.551 17.182
Cu 0.000 1.551 23.731
Cu 1.343 0.775 2.043
Cu 1.343 0.775 8.591
Cu 1.343 0.775 15.140
W 0.000 0.000 12.887
W 0.000 1.551 4.296
W 1.343 0.775 21.478
```

Computed properties:
Formation energy   0.253 eV/atom

First-principles (PBE) data for a relaxed PaSeO3 crystal, as listed in Alexandria via LeMat-Bulk. Values from VASP.

Structure (Quantum ESPRESSO input):
```
&SYSTEM
  ibrav = 0, nat = 10, ntyp = 3
/
ATOMIC_SPECIES
Pa 231.04 Pa.upf
Se 78.96 Se.upf
O 16.00 O.upf
CELL_PARAMETERS angstrom
5.940 0.000 0.000
0.000 5.273 0.000
-2.808 0.000 5.334
ATOMIC_POSITIONS angstrom
Pa 0.058 0.000 2.020
Pa 3.074 2.637 3.314
Se -0.143 4.511 5.038
Se 3.275 1.875 0.296
O -1.542 1.160 3.170
O 0.912 4.210 0.019
O 1.352 1.494 2.316
O 1.780 4.131 3.018
O 2.220 1.573 5.314
O 4.674 3.796 2.163
```

Computed properties:
Uncorrected formation energy   -2348.8 meV/atom

First-principles (PBE) data for a relaxed LaGa2HgPd5 crystal, as listed in Alexandria via LeMat-Bulk. Values from VASP.

Structure (Quantum ESPRESSO input):
```
&SYSTEM
  ibrav = 0, nat = 9, ntyp = 4
/
ATOMIC_SPECIES
La 138.91 La.upf
Ga 69.72 Ga.upf
Hg 200.59 Hg.upf
Pd 106.42 Pd.upf
CELL_PARAMETERS angstrom
4.224 0.000 0.000
0.000 4.224 0.000
0.000 0.000 9.445
ATOMIC_POSITIONS angstrom
La 0.000 0.000 0.000
Ga 2.112 2.112 3.495
Ga 2.112 2.112 5.950
Hg 0.000 0.000 4.723
Pd 0.000 2.112 2.148
Pd 0.000 2.112 7.298
Pd 2.112 0.000 2.148
Pd 2.112 0.000 7.298
Pd 2.112 2.112 0.000
```

Computed properties:
Formation energy   -0.519 eV/atom

First-principles (PBE) data for a relaxed Mg3Cd3HgRh2 crystal, as listed in Alexandria via LeMat-Bulk. Values from VASP.

Structure (Quantum ESPRESSO input):
```
&SYSTEM
  ibrav = 0, nat = 9, ntyp = 4
/
ATOMIC_SPECIES
Mg 24.30 Mg.upf
Cd 112.41 Cd.upf
Hg 200.59 Hg.upf
Rh 102.91 Rh.upf
CELL_PARAMETERS angstrom
7.820 0.000 0.000
-3.910 6.772 0.000
0.000 0.000 3.201
ATOMIC_POSITIONS angstrom
Mg -2.708 4.691 0.000
Mg 1.202 2.082 0.000
Mg 5.416 0.000 0.000
Cd -1.496 2.592 1.600
Cd 2.993 0.000 1.600
Cd 2.413 4.180 1.600
Hg 0.000 0.000 1.600
Rh 0.000 4.515 0.000
Rh 3.910 2.257 0.000
```

Computed properties:
Formation energy   -0.194 eV/atom